(1)
A relaxed Pm2NpAl9 crystal. Source: Alexandria via LeMat-Bulk, functional GGA-PBE.

Cell: 9.464 9.464 9.464 Å, 34.27 34.27 34.27°
Fractional positions:
Pm  0.140  0.140  0.140
Pm  0.860  0.860  0.860
Np  0.000  0.000  0.000
Al  0.077  0.585  0.585
Al  0.335  0.335  0.335
Al  0.415  0.415  0.923
Al  0.415  0.923  0.415
Al  0.500  0.500  0.500
Al  0.585  0.077  0.585
Al  0.585  0.585  0.077
Al  0.665  0.665  0.665
Al  0.923  0.415  0.415

Calculated values
- Energy: -4.947 eV per atom
- Total magnetic moment: 4.631 μB/f.u.
- Crystal system: trigonal
- DOS at the Fermi energy: 1.40 states/eV per atom
- SG: R-3m, No. 166
- ΔH_f (0 K): -0.2696 eV per atom


(2)
A relaxed Pa3Tc2Ge4 crystal. Source: Alexandria via LeMat-Bulk, functional GGA-PBE.

Cell: 5.698 5.698 8.217 Å, 106.79 106.79 45.55°
Fractional positions:
Pa  0.000  0.000  0.000
Pa  0.367  0.367  0.307
Pa  0.633  0.633  0.693
Tc  0.316  0.316  0.635
Tc  0.684  0.684  0.365
Ge  0.083  0.083  0.393
Ge  0.291  0.291  0.927
Ge  0.709  0.709  0.073
Ge  0.917  0.917  0.607

Calculated values
- Energy: -7.978 eV per atom
- Total magnetic moment: 0.000 μB/f.u.
- Crystal system: monoclinic
- DOS at the Fermi energy: 1.14 states/eV per atom
- SG: C2/m, No. 12
- ΔH_f (0 K): -0.4572 eV per atom


(3)
A relaxed LuPuZnFe crystal. Source: Alexandria via LeMat-Bulk, functional GGA-PBE.

Cell: 4.842 4.842 4.842 Å, 60.00 60.00 60.00°
Fractional positions:
Lu  0.000  0.000  0.000
Pu  0.500  0.500  0.500
Zn  0.750  0.750  0.750
Fe  0.250  0.250  0.250

Calculated values
- Energy: -7.161 eV per atom
- Total magnetic moment: 3.745 μB/f.u.
- Crystal system: cubic
- DOS at the Fermi energy: 2.20 states/eV per atom
- SG: F-43m, No. 216
- ΔH_f (0 K): -0.0137 eV per atom


(4)
A relaxed Mg2Ag3RuO6 crystal. Source: Alexandria via LeMat-Bulk, functional GGA-PBE.

Cell: 5.282 5.282 6.414 Å, 100.42 100.42 118.76°
Fractional positions:
Mg  0.166  0.834  0.000
Mg  0.834  0.166  0.000
Ag  0.169  0.831  0.500
Ag  0.500  0.500  0.500
Ag  0.831  0.169  0.500
Ru  0.500  0.500  0.000
O  0.110  0.110  0.817
O  0.253  0.571  0.176
O  0.429  0.747  0.824
O  0.571  0.253  0.176
O  0.747  0.429  0.824
O  0.890  0.890  0.183

Calculated values
- Energy: -5.360 eV per atom
- Total magnetic moment: 2.980 μB/f.u.
- Crystal system: monoclinic
- DOS at the Fermi energy: 0.09 states/eV per atom
- SG: C2/m, No. 12
- ΔE_f (raw): -1308 kJ/mol of formula units


(5)
A relaxed Hg2SbPt crystal. Source: Alexandria via LeMat-Bulk, functional GGA-PBE.

Cell: 3.131 5.219 5.342 Å, 90.00 90.00 90.00°
Fractional positions:
Hg  0.000  0.000  0.000
Hg  0.500  0.500  0.000
Sb  0.000  0.500  0.500
Pt  0.500  0.000  0.500

Calculated values
- Energy: -2.509 eV per atom
- Total magnetic moment: 0.000 μB/f.u.
- Crystal system: orthorhombic
- DOS at the Fermi energy: 0.44 states/eV per atom
- SG: Pmmm, No. 47
- ΔE_f (raw): 71 kJ/mol of formula units


(6)
A relaxed KCeAlS4 crystal. Source: Alexandria via LeMat-Bulk, functional GGA-PBE.

Cell: 6.586 6.594 8.824 Å, 90.00 107.77 90.00°
Fractional positions:
K  0.232  0.250  0.440
K  0.768  0.750  0.560
Ce  0.270  0.250  0.946
Ce  0.730  0.750  0.054
Al  0.268  0.750  0.170
Al  0.732  0.250  0.830
S  0.053  0.750  0.919
S  0.065  0.750  0.330
S  0.495  0.506  0.795
S  0.495  0.994  0.795
S  0.505  0.006  0.205
S  0.505  0.494  0.205
S  0.935  0.250  0.670
S  0.947  0.250  0.081

Calculated values
- Energy: -5.362 eV per atom
- Total magnetic moment: 0.159 μB/f.u.
- Crystal system: monoclinic
- SG: P2_1/m, No. 11
- ΔE_f (raw): -989 kJ/mol of formula units


(7)
A relaxed LiRh3N crystal. Source: Alexandria via LeMat-Bulk, functional GGA-PBE.

Cell: 4.078 4.078 4.078 Å, 90.00 90.00 90.00°
Fractional positions:
Li  0.000  0.000  0.000
Rh  0.000  0.000  0.500
Rh  0.000  0.500  0.000
Rh  0.500  0.000  0.000
N  0.500  0.500  0.500

Calculated values
- Energy: -4.624 eV per atom
- Total magnetic moment: 0.000 μB/f.u.
- Crystal system: cubic
- DOS at the Fermi energy: 1.27 states/eV per atom
- SG: Pm-3m, No. 221
- ΔE_f (raw): 885 kJ/mol of formula units


(8)
A relaxed NdCuTe2 crystal. Source: Alexandria via LeMat-Bulk, functional GGA-PBE.

Cell: 7.138 8.044 7.672 Å, 90.00 94.97 90.00°
Fractional positions:
Nd  0.197  0.042  0.302
Nd  0.197  0.458  0.802
Nd  0.803  0.542  0.198
Nd  0.803  0.958  0.698
Cu  0.438  0.652  0.452
Cu  0.438  0.848  0.952
Cu  0.562  0.152  0.048
Cu  0.562  0.348  0.548
Te  0.081  0.717  0.496
Te  0.081  0.783  0.996
Te  0.395  0.111  0.723
Te  0.395  0.389  0.223
Te  0.605  0.611  0.777
Te  0.605  0.889  0.277
Te  0.919  0.217  0.004
Te  0.919  0.283  0.504

Calculated values
- Energy: -4.708 eV per atom
- Total magnetic moment: 0.000 μB/f.u.
- Crystal system: monoclinic
- SG: P2_1/c, No. 14
- ΔE_f (raw): -355 kJ/mol of formula units


(9)
A relaxed TiAgOF2 crystal. Source: Alexandria via LeMat-Bulk, functional GGA-PBE.

Cell: 4.124 4.124 3.837 Å, 90.00 90.00 90.00°
Fractional positions:
Ti  0.000  0.000  0.000
Ag  0.500  0.500  0.500
O  0.000  0.000  0.500
F  0.000  0.500  0.000
F  0.500  0.000  0.000

Calculated values
- Energy: -6.054 eV per atom
- Total magnetic moment: 0.791 μB/f.u.
- Crystal system: tetragonal
- DOS at the Fermi energy: 0.46 states/eV per atom
- SG: P4/mmm, No. 123
- ΔE_f (raw): -1044 kJ/mol of formula units


(10)
A relaxed Cs2ThF6 crystal. Source: Alexandria via LeMat-Bulk, functional GGA-PBE.

Cell: 6.239 6.239 13.054 Å, 90.00 90.00 90.00°
Fractional positions:
Cs  0.000  0.000  0.164
Cs  0.000  0.000  0.836
Cs  0.500  0.500  0.336
Cs  0.500  0.500  0.664
Th  0.000  0.000  0.500
Th  0.500  0.500  0.000
F  0.170  0.170  0.372
F  0.170  0.170  0.628
F  0.246  0.246  0.000
F  0.254  0.746  0.500
F  0.330  0.670  0.128
F  0.330  0.670  0.872
F  0.670  0.330  0.128
F  0.670  0.330  0.872
F  0.746  0.254  0.500
F  0.754  0.754  0.000
F  0.830  0.830  0.372
F  0.830  0.830  0.628

Calculated values
- Energy: -5.838 eV per atom
- Total magnetic moment: 0.000 μB/f.u.
- Crystal system: tetragonal
- DOS at the Fermi energy: 0.00 states/eV per atom
- SG: P4_2/mnm, No. 136
- ΔE_f (raw): -3106 kJ/mol of formula units


(11)
A relaxed AgPb crystal. Source: Alexandria via LeMat-Bulk, functional GGA-PBE.

Cell: 6.207 6.207 6.207 Å, 147.14 130.37 60.81°
Fractional positions:
Ag  0.393  0.143  0.250
Ag  0.607  0.857  0.750
Pb  0.141  0.391  0.750
Pb  0.859  0.609  0.250

Calculated values
- Energy: -3.179 eV per atom
- Total magnetic moment: 0.000 μB/f.u.
- Crystal system: orthorhombic
- DOS at the Fermi energy: 0.35 states/eV per atom
- SG: Imma, No. 74
- ΔH_f (0 K): 0.1011 eV per atom


(12)
A relaxed MoAu2I crystal. Source: Alexandria via LeMat-Bulk, functional GGA-PBE.

Cell: 4.961 4.961 4.961 Å, 60.00 60.00 60.00°
Fractional positions:
Mo  0.000  0.000  0.000
Au  0.250  0.250  0.250
Au  0.750  0.750  0.750
I  0.500  0.500  0.500

Calculated values
- Energy: -3.765 eV per atom
- Total magnetic moment: 3.140 μB/f.u.
- Crystal system: cubic
- DOS at the Fermi energy: 0.76 states/eV per atom
- SG: Fm-3m, No. 225
- ΔE_f (raw): 374 kJ/mol of formula units


(13)
A relaxed Sr2MnCl crystal. Source: Alexandria via LeMat-Bulk, functional GGA-PBE.

Cell: 6.454 6.454 6.454 Å, 142.59 113.49 78.88°
Fractional positions:
Sr  0.214  0.214  0.000
Sr  0.786  0.786  0.000
Mn  0.500  0.000  0.500
Cl  0.000  0.500  0.500

Calculated values
- Energy: -3.860 eV per atom
- Total magnetic moment: 4.117 μB/f.u.
- Crystal system: orthorhombic
- DOS at the Fermi energy: 1.19 states/eV per atom
- SG: Immm, No. 71
- ΔE_f (raw): -102 kJ/mol of formula units


(14)
A relaxed KRh3I crystal. Source: Alexandria via LeMat-Bulk, functional GGA-PBE.

Cell: 4.960 4.960 4.960 Å, 90.00 90.00 90.00°
Fractional positions:
K  0.000  0.000  0.000
Rh  0.000  0.500  0.500
Rh  0.500  0.000  0.500
Rh  0.500  0.500  0.000
I  0.500  0.500  0.500

Calculated values
- Energy: -4.140 eV per atom
- Total magnetic moment: 0.000 μB/f.u.
- Crystal system: cubic
- DOS at the Fermi energy: 1.60 states/eV per atom
- SG: Pm-3m, No. 221
- ΔE_f (raw): 386 kJ/mol of formula units


(15)
A relaxed Nd3Ge2Ru crystal. Source: Alexandria via LeMat-Bulk, functional GGA-PBE.

Cell: 12.147 4.281 11.678 Å, 90.00 90.00 90.00°
Fractional positions:
Nd  0.056  0.250  0.128
Nd  0.120  0.750  0.554
Nd  0.221  0.250  0.797
Nd  0.279  0.750  0.297
Nd  0.380  0.250  0.054
Nd  0.444  0.750  0.628
Nd  0.556  0.250  0.372
Nd  0.620  0.750  0.946
Nd  0.721  0.250  0.703
Nd  0.779  0.750  0.203
Nd  0.880  0.250  0.446
Nd  0.944  0.750  0.872
Ge  0.016  0.750  0.312
Ge  0.192  0.750  0.995
Ge  0.308  0.250  0.495
Ge  0.484  0.250  0.812
Ge  0.516  0.750  0.188
Ge  0.692  0.750  0.505
Ge  0.808  0.250  0.005
Ge  0.984  0.250  0.688
Ru  0.131  0.250  0.367
Ru  0.369  0.750  0.867
Ru  0.631  0.250  0.133
Ru  0.869  0.750  0.633

Calculated values
- Energy: -6.144 eV per atom
- Total magnetic moment: 0.000 μB/f.u.
- Crystal system: orthorhombic
- DOS at the Fermi energy: 0.75 states/eV per atom
- SG: Pnma, No. 62
- ΔH_f (0 K): -0.6747 eV per atom


(16)
A relaxed Pr2Ho3TmS6 crystal. Source: Alexandria via LeMat-Bulk, functional GGA-PBE.

Cell: 8.837 8.837 7.976 Å, 103.31 103.31 25.68°
Fractional positions:
Pr  0.168  0.168  0.336
Pr  0.832  0.832  0.664
Ho  0.170  0.170  0.834
Ho  0.500  0.500  0.500
Ho  0.830  0.830  0.166
Tm  0.500  0.500  0.000
S  0.005  0.005  0.756
S  0.336  0.336  0.931
S  0.339  0.339  0.405
S  0.661  0.661  0.595
S  0.664  0.664  0.069
S  0.995  0.995  0.244

Calculated values
- Energy: -6.354 eV per atom
- Total magnetic moment: 0.000 μB/f.u.
- Crystal system: monoclinic
- DOS at the Fermi energy: 0.42 states/eV per atom
- SG: C2/m, No. 12
- ΔE_f (raw): -2289 kJ/mol of formula units


(17)
A relaxed LiZnAg crystal. Source: Alexandria via LeMat-Bulk, functional GGA-PBE.

Cell: 4.867 4.867 4.867 Å, 145.62 133.35 59.22°
Fractional positions:
Li  0.000  0.000  0.000
Zn  0.665  0.665  0.000
Ag  0.333  0.333  0.000

Calculated values
- Energy: -2.194 eV per atom
- Total magnetic moment: 0.000 μB/f.u.
- Crystal system: orthorhombic
- DOS at the Fermi energy: 0.22 states/eV per atom
- SG: Imm2, No. 44
- ΔH_f (0 K): -0.1811 eV per atom


(18)
A relaxed K2ZnGeH crystal. Source: Alexandria via LeMat-Bulk, functional GGA-PBE.

Cell: 6.440 6.440 3.517 Å, 90.00 90.00 90.00°
Fractional positions:
K  0.000  0.500  0.000
K  0.500  0.000  0.000
Zn  0.000  0.000  0.000
Ge  0.500  0.500  0.500
H  0.000  0.000  0.500

Calculated values
- Energy: -1.927 eV per atom
- Total magnetic moment: 0.833 μB/f.u.
- Crystal system: tetragonal
- DOS at the Fermi energy: 0.50 states/eV per atom
- SG: P4/mmm, No. 123


(19)
A relaxed Tb5Pm3Nd4 crystal. Source: Alexandria via LeMat-Bulk, functional GGA-PBE.

Cell: 6.278 7.241 8.877 Å, 90.06 90.10 90.07°
Fractional positions:
Tb  0.000  0.000  0.000
Tb  0.334  0.500  0.331
Tb  0.500  0.251  0.000
Tb  0.500  0.749  0.000
Tb  0.666  0.500  0.669
Pm  0.000  0.500  0.000
Pm  0.168  0.251  0.668
Pm  0.832  0.749  0.332
Nd  0.168  0.748  0.668
Nd  0.332  0.000  0.331
Nd  0.668  0.000  0.669
Nd  0.832  0.252  0.332

Calculated values
- Energy: -4.693 eV per atom
- Total magnetic moment: 0.000 μB/f.u.
- Crystal system: triclinic
- DOS at the Fermi energy: 1.36 states/eV per atom
- SG: P-1, No. 2
- ΔH_f (0 K): 0.0133 eV per atom


(20)
A relaxed TlCu2HgCl6 crystal. Source: Alexandria via LeMat-Bulk, functional GGA-PBE.

Cell: 6.686 6.957 8.128 Å, 91.42 113.15 117.53°
Fractional positions:
Tl  0.000  0.000  0.000
Cu  0.479  0.230  0.708
Cu  0.521  0.770  0.292
Hg  0.000  0.500  0.500
Cl  0.179  0.277  0.722
Cl  0.204  0.458  0.284
Cl  0.443  0.904  0.732
Cl  0.557  0.096  0.268
Cl  0.796  0.542  0.716
Cl  0.821  0.723  0.278

Calculated values
- Energy: -2.795 eV per atom
- Total magnetic moment: 1.065 μB/f.u.
- Crystal system: triclinic
- DOS at the Fermi energy: 0.68 states/eV per atom
- SG: P-1, No. 2
- ΔE_f (raw): -580 kJ/mol of formula units


(21)
A relaxed BeZnAsIr crystal. Source: Alexandria via LeMat-Bulk, functional GGA-PBE.

Cell: 2.927 4.182 4.544 Å, 90.00 90.00 90.00°
Fractional positions:
Be  0.000  0.000  0.000
Zn  0.000  0.500  0.337
As  0.500  0.000  0.540
Ir  0.500  0.500  0.859

Calculated values
- Energy: -4.636 eV per atom
- Total magnetic moment: 0.000 μB/f.u.
- Crystal system: orthorhombic
- DOS at the Fermi energy: 0.44 states/eV per atom
- SG: Pmm2, No. 25
- ΔH_f (0 K): -0.0079 eV per atom


(22)
A relaxed Bi2HS crystal. Source: Alexandria via LeMat-Bulk, functional GGA-PBE.

Cell: 4.922 4.922 4.922 Å, 60.00 60.00 60.00°
Fractional positions:
Bi  0.250  0.250  0.250
Bi  0.750  0.750  0.750
H  0.000  0.000  0.000
S  0.500  0.500  0.500

Calculated values
- Energy: -3.349 eV per atom
- Total magnetic moment: 0.000 μB/f.u.
- Crystal system: cubic
- DOS at the Fermi energy: 0.51 states/eV per atom
- SG: Fm-3m, No. 225


(23)
A relaxed Ho5Mg4Cd2 crystal. Source: Alexandria via LeMat-Bulk, functional GGA-PBE.

Cell: 8.379 19.049 3.677 Å, 90.00 90.00 90.00°
Fractional positions:
Ho  0.000  0.000  0.000
Ho  0.117  0.426  0.000
Ho  0.238  0.203  0.000
Ho  0.262  0.703  0.000
Ho  0.383  0.926  0.000
Ho  0.500  0.500  0.000
Ho  0.617  0.074  0.000
Ho  0.738  0.297  0.000
Ho  0.762  0.797  0.000
Ho  0.883  0.574  0.000
Mg  0.088  0.851  0.500
Mg  0.207  0.563  0.500
Mg  0.293  0.063  0.500
Mg  0.412  0.351  0.500
Mg  0.588  0.649  0.500
Mg  0.707  0.937  0.500
Mg  0.793  0.437  0.500
Mg  0.912  0.149  0.500
Cd  0.039  0.300  0.500
Cd  0.461  0.800  0.500
Cd  0.539  0.200  0.500
Cd  0.961  0.700  0.500

Calculated values
- Energy: -2.950 eV per atom
- Total magnetic moment: 0.000 μB/f.u.
- Crystal system: orthorhombic
- DOS at the Fermi energy: 1.11 states/eV per atom
- SG: Pbam, No. 55
- ΔH_f (0 K): -0.1227 eV per atom